(1)
The following is a DFT calculation (PBE) of crystalline Zr3Co2Tc at its relaxed geometry.

Cell lengths 4.561, 13.585, 3.261 Å; angles 90.00, 90.00, 90.00 degrees
Space group Cmmm (No. 65)
Symmetry-distinct sites (fractional):
Zr 0.000 0.000 0.000 (multiplicity 2)
Zr 0.000 0.332 0.000 (multiplicity 4)
Co 0.000 0.167 0.500 (multiplicity 4)
Tc 0.000 0.500 0.500 (multiplicity 2)

Computed properties:
E_form = -0.329 eV/atom
volume = 16.8 Å³ per atom
energy relative to the lowest polymorph listed for this composition = 6 kJ/mol of formula units

=====

(2)
The following is a DFT calculation (PBE) of crystalline RbHfCuCl6 at its relaxed geometry.

Cell lengths 6.5933, 6.5933, 14.6716 Å; angles 90.00, 90.00, 120.00 degrees
Space group P-31c (No. 163)
Symmetry-distinct sites (fractional):
Rb 0.0000 0.0000 0.0000 (multiplicity 2)
Hf 0.3333 0.6667 0.2500 (multiplicity 2)
Cu 0.3333 0.6667 0.7500 (multiplicity 2)
Cl 0.0119 0.3796 0.1528 (multiplicity 12)

Computed properties:
formation energy (no corrections) = -1551 meV/atom
volume = 30.7 Å³ per atom

=====

| no. | E (Ha/atom) | total moment (Bohr magnetons per cell) |
| --- | --- | --- |
| 1 | -0.320 | 1.87 |
| 2 | -0.164 | 0.24 |